Entry from the Alexandria database: BaCoSi2 at its PBEsol-relaxed geometry (meta-GGA SCAN).

Structure (CIF):
```
data_BaCoSi2
_space_group_name_H-M_alt 'P 1'
_space_group_IT_number 1
_space_group_name_Hall 'P 1'
_cell_length_a 4.739
_cell_length_b 4.739
_cell_length_c 4.739
_cell_angle_alpha 60.00
_cell_angle_beta 60.00
_cell_angle_gamma 60.00
loop_
_atom_site_label
_atom_site_fract_x
_atom_site_fract_y
_atom_site_fract_z
_atom_site_occupancy
Ba1 0.000 0.000 0.000 1
Co1 0.250 0.250 0.250 1
Si1 0.500 0.500 0.500 1
Si2 0.750 0.750 0.750 1
```

Values from the calculation:
Formation energy without anion corrections: 0.750 eV/atom
Calculated density: 5.571 g/cm3
Volume: 18.81 Å³ per atom
Calculated total energy: -18.4716 eV per atom